1.
The following is a GGA-PBE calculation of LaTiAg after structural relaxation, from the Alexandria database.

Lattice parameters (Å, degrees): 5.2402 5.7835 5.1516 90.00 90.00 63.08
Last column: nearest neighbours and their distance in Å.
Fractional positions:
La 0.5871 0.7448 0.1710  4 Ti 3.04-3.15, 2 La 3.29, 4 Ag 3.32-3.33
La 0.1965 0.7451 0.6710  6 Ag 3.15-3.41, 2 La 3.29, 4 Ti 3.45
Ti 0.8237 0.1577 0.1711  2 Ti 2.77, 4 Ag 2.97-3.03, 1 La 3.04
Ti 0.2365 0.3320 0.1710  2 Ti 2.77, 4 Ag 2.97-3.03, 1 La 3.04
Ag 0.9190 0.3634 0.6710  2 Ag 2.89, 4 Ti 2.97-3.03, 2 La 3.15-3.19
Ag 0.5374 0.1267 0.6710  2 Ag 2.89, 4 Ti 2.97-3.03, 2 La 3.15-3.19

Properties
ΔE_f (kJ/mol of atoms): 8.00
Symmetry: Amm2

***

2.
The following is a GGA-PBE calculation of LaTiAg after structural relaxation, from the Alexandria database.

Lattice parameters (Å, degrees): 5.1411 5.1411 5.9575 90.00 90.00 120.00
Last column: nearest neighbours and their distance in Å.
Fractional positions:
La 0.6667 0.3333 0.7500  5 Ti 2.97-2.98, 6 Ag 3.32
La 0.3333 0.6667 0.2500  5 Ti 2.97-2.98, 6 Ag 3.32
Ti 0.3333 0.6667 0.7500  5 La 2.97-2.98, 6 Ag 3.32
Ti 0.6667 0.3333 0.2500  5 La 2.97-2.98, 6 Ag 3.32
Ag 0.0000 0.0000 0.0000  2 Ag 2.98, 6 La 3.32, 6 Ti 3.32
Ag 0.0000 0.0000 0.5000  2 Ag 2.98, 6 La 3.32, 6 Ti 3.32

Properties
ΔE_f (kJ/mol of atoms): 40.49
Symmetry: P6_3/mmc

***

3.
The following is a GGA-PBE calculation of LaTiAg after structural relaxation, from the Alexandria database.

Lattice parameters (Å, degrees): 4.7516 4.7516 4.7516 60.00 60.00 60.00
Last column: nearest neighbours and their distance in Å.
Fractional positions:
Ag 0.7500 0.7500 0.7500  4 Ti 2.91
Ti 0.5000 0.5000 0.5000  4 Ag 2.91, 4 La 2.91
La 0.2500 0.2500 0.2500  4 Ti 2.91

Properties
ΔE_f (kJ/mol of atoms): 54.64
Symmetry: F-43m

***

4.
The following is a GGA-PBE calculation of LaTiAg after structural relaxation, from the Alexandria database.

Lattice parameters (Å, degrees): 4.9537 4.9537 11.3245 90.00 90.00 120.00
Last column: nearest neighbours and their distance in Å.
Fractional positions:
La 0.0000 0.0000 0.2500  2 Ti 2.83, 3 Ag 2.86
La 0.0000 0.0000 0.7500  2 Ti 2.83, 3 Ag 2.86
Ag 0.6667 0.3333 0.7500  3 La 2.86
Ag 0.3333 0.6667 0.2500  3 La 2.86
Ti 0.0000 0.0000 0.0000  2 La 2.83
Ti 0.0000 0.0000 0.5000  2 La 2.83

Properties
ΔE_f (kJ/mol of atoms): 151.78
Symmetry: P6_3/mmc

***

5.
The following is a GGA-PBE calculation of LaTi2Ag2 after structural relaxation, from the Alexandria database.

Lattice parameters (Å, degrees): 4.0676 4.0676 7.4406 74.14 74.14 90.00
Last column: nearest neighbours and their distance in Å.
Fractional positions:
La 0.0000 0.0000 0.0000  8 Ag 3.22
Ag 0.3950 0.3950 0.2100  4 Ti 2.85, 1 Ag 2.88
Ag 0.6050 0.6050 0.7900  4 Ti 2.85, 1 Ag 2.88
Ti 0.2500 0.7500 0.5000  4 Ag 2.85, 4 Ti 2.88
Ti 0.7500 0.2500 0.5000  4 Ag 2.85, 4 Ti 2.88

Properties
ΔE_f (kJ/mol of atoms): 12.20
Symmetry: I4/mmm

***

6.
The following is a GGA-PBE calculation of LaTiAg after structural relaxation, from the Alexandria database.

Lattice parameters (Å, degrees): 7.8323 4.4970 8.5125 90.00 90.00 90.00
Last column: nearest neighbours and their distance in Å.
Fractional positions:
La 0.0452 0.2500 0.8281  5 Ag 3.10-3.30, 3 Ti 3.25-3.47
La 0.5452 0.2500 0.6719  5 Ag 3.10-3.30, 3 Ti 3.25-3.47
La 0.9548 0.7500 0.1719  5 Ag 3.10-3.30, 3 Ti 3.25-3.47
La 0.4548 0.7500 0.3281  5 Ag 3.10-3.30, 3 Ti 3.25-3.47
Ag 0.7396 0.7500 0.8660  4 Ti 2.79-2.95, 1 La 3.10
Ag 0.2604 0.2500 0.1340  4 Ti 2.79-2.95, 1 La 3.10
Ag 0.2396 0.7500 0.6340  4 Ti 2.79-2.95, 1 La 3.10
Ag 0.7604 0.2500 0.3660  4 Ti 2.79-2.95, 1 La 3.10
Ti 0.8951 0.7500 0.5501  4 Ag 2.79-2.95, 2 Ti 2.91
Ti 0.6049 0.2500 0.0501  4 Ag 2.79-2.95, 2 Ti 2.91
Ti 0.1049 0.2500 0.4499  4 Ag 2.79-2.95, 2 Ti 2.91
Ti 0.3951 0.7500 0.9499  4 Ag 2.79-2.95, 2 Ti 2.91

Properties
ΔE_f (kJ/mol of atoms): 9.52
Symmetry: Pnma

***

7.
The following is a GGA-PBE calculation of LaTi2Ag2 after structural relaxation, from the Alexandria database.

Lattice parameters (Å, degrees): 8.2829 8.2829 3.0457 90.00 90.00 90.00
Last column: nearest neighbours and their distance in Å.
Fractional positions:
Ti 0.6129 0.1129 0.0000  1 Ti 2.64, 6 Ag 2.88-2.90
Ti 0.1129 0.3871 0.0000  1 Ti 2.64, 6 Ag 2.88-2.90
Ti 0.8871 0.6129 0.0000  1 Ti 2.64, 6 Ag 2.88-2.90
Ti 0.3871 0.8871 0.0000  1 Ti 2.64, 6 Ag 2.88-2.90
Ag 0.8216 0.3216 0.5000  6 Ti 2.88-2.90, 2 Ag 3.05
Ag 0.6784 0.8216 0.5000  6 Ti 2.88-2.90, 2 Ag 3.05
Ag 0.3216 0.1784 0.5000  6 Ti 2.88-2.90, 2 Ag 3.05
Ag 0.1784 0.6784 0.5000  6 Ti 2.88-2.90, 2 Ag 3.05
La 0.5000 0.5000 0.0000  2 La 3.05, 4 Ti 3.34, 8 Ag 3.41
La 0.0000 0.0000 0.0000  2 La 3.05, 4 Ti 3.34, 8 Ag 3.41

Properties
ΔE_f (kJ/mol of atoms): 12.59
Symmetry: P4/mbm

***

8.
The following is a GGA-PBE calculation of LaTi2Ag2 after structural relaxation, from the Alexandria database.

Lattice parameters (Å, degrees): 8.2446 8.2446 3.1054 90.00 90.00 90.00
Last column: nearest neighbours and their distance in Å.
Fractional positions:
Ag 0.8760 0.6240 0.0000  6 Ti 2.88-2.89, 3 Ag 2.89-3.11
Ag 0.6240 0.1240 0.0000  6 Ti 2.88-2.89, 3 Ag 2.89-3.11
Ag 0.1240 0.3760 0.0000  6 Ti 2.88-2.89, 3 Ag 2.89-3.11
Ag 0.3760 0.8760 0.0000  6 Ti 2.88-2.89, 3 Ag 2.89-3.11
Ti 0.3330 0.1670 0.5000  6 Ag 2.88-2.89, 2 Ti 3.11
Ti 0.8330 0.3330 0.5000  6 Ag 2.88-2.89, 2 Ti 3.11
Ti 0.6670 0.8330 0.5000  6 Ag 2.88-2.89, 2 Ti 3.11
Ti 0.1670 0.6670 0.5000  6 Ag 2.88-2.89, 2 Ti 3.11
La 0.5000 0.5000 0.0000  2 La 3.11, 4 Ag 3.26, 8 Ti 3.44
La 0.0000 0.0000 0.0000  2 La 3.11, 4 Ag 3.26, 8 Ti 3.44

Properties
ΔE_f (kJ/mol of atoms): 22.86
Symmetry: P4/mbm

***

9.
The following is a GGA-PBE calculation of LaTiAg after structural relaxation, from the Alexandria database.

Lattice parameters (Å, degrees): 6.1703 4.6375 9.3965 90.00 90.00 90.00
Last column: nearest neighbours and their distance in Å.
Fractional positions:
Ti 0.3832 0.2500 0.3945  3 Ag 2.83-3.07, 4 La 2.88-3.14
Ti 0.8832 0.2500 0.1055  3 Ag 2.83-3.07, 4 La 2.88-3.14
Ti 0.1168 0.7500 0.8945  3 Ag 2.83-3.07, 4 La 2.88-3.14
Ti 0.6168 0.7500 0.6055  3 Ag 2.83-3.07, 4 La 2.88-3.14
La 0.8451 0.2500 0.4385  4 Ti 2.88-3.14, 2 Ag 3.20, 2 La 3.22
La 0.1549 0.7500 0.5615  4 Ti 2.88-3.14, 2 Ag 3.20, 2 La 3.22
La 0.3451 0.2500 0.0615  4 Ti 2.88-3.14, 2 Ag 3.20, 2 La 3.22
La 0.6549 0.7500 0.9385  4 Ti 2.88-3.14, 2 Ag 3.20, 2 La 3.22
Ag 0.9194 0.2500 0.7800  3 Ti 2.83-3.07, 2 Ag 3.14
Ag 0.4194 0.2500 0.7200  3 Ti 2.83-3.07, 2 Ag 3.14
Ag 0.5806 0.7500 0.2800  3 Ti 2.83-3.07, 2 Ag 3.14
Ag 0.0806 0.7500 0.2200  3 Ti 2.83-3.07, 2 Ag 3.14

Properties
ΔE_f (kJ/mol of atoms): 21.90
Symmetry: Pnma

***

10.
The following is a GGA-PBE calculation of LaTiAg after structural relaxation, from the Alexandria database.

Lattice parameters (Å, degrees): 4.8372 6.1354 5.4125 116.19 90.00 90.00
Last column: nearest neighbours and their distance in Å.
Fractional positions:
La 0.8783 0.7439 0.4415  4 Ag 3.24-3.37, 4 Ti 3.24-3.38, 2 La 3.43
La 0.3783 0.7440 0.8898  4 Ag 3.24-3.37, 4 Ti 3.24-3.38, 2 La 3.43
Ag 0.8783 0.3356 0.8070  4 Ti 2.81-2.89, 2 Ag 2.94
Ag 0.3783 0.3353 0.1152  4 Ti 2.82-2.89, 2 Ag 2.94
Ti 0.8783 0.1553 0.2185  4 Ag 2.82-2.89, 2 Ti 2.93
Ti 0.3783 0.1556 0.5238  4 Ag 2.81-2.89, 2 Ti 2.93

Properties
ΔE_f (kJ/mol of atoms): 9.46
Symmetry: Ama2

***

11.
The following is a GGA-PBE calculation of LaTiAg after structural relaxation, from the Alexandria database.

Lattice parameters (Å, degrees): 3.2955 5.2922 9.7451 64.92 89.42 106.92
Last column: nearest neighbours and their distance in Å.
Fractional positions:
Ti 0.2694 0.2884 0.2211  2 Ag 2.75-2.77, 3 Ti 2.80-3.03
Ti 0.6006 0.9440 0.1287  3 Ti 2.80-3.03, 2 Ag 2.88-2.94
La 0.9004 0.5725 0.4339  5 Ti 3.15-3.43, 3 Ag 3.18-3.24, 2 La 3.30
La 0.3191 0.3475 0.8210  6 Ag 3.12-3.37, 2 Ti 3.19-3.26, 2 La 3.30
Ag 0.9555 0.6594 0.9877  4 Ti 2.75-2.94
Ag 0.1138 0.9633 0.6146  6 La 3.18-3.37, 3 Ag 3.25-3.30, 1 Ti 3.43

Properties
ΔE_f (kJ/mol of atoms): 14.84
Symmetry: P1

***

12.
The following is a GGA-PBE calculation of LaTi2Ag after structural relaxation, from the Alexandria database.

Lattice parameters (Å, degrees): 4.1760 4.1760 10.8078 78.86 78.86 90.00
Last column: nearest neighbours and their distance in Å.
Fractional positions:
Ti 0.1381 0.6250 0.2500  4 Ti 2.88-3.03, 2 Ag 2.97, 2 La 3.01
Ti 0.6119 0.1250 0.2500  4 Ti 2.88-3.03, 2 Ag 2.97, 2 La 3.01
Ti 0.3750 0.3881 0.7500  4 Ti 2.88-3.03, 2 Ag 2.97, 2 La 3.01
Ti 0.8750 0.8619 0.7500  4 Ti 2.88-3.03, 2 Ag 2.97, 2 La 3.01
La 0.7500 0.2500 0.5000  4 Ag 2.95, 4 Ti 3.01
La 0.0000 0.0000 0.0000  4 Ag 2.95, 4 Ti 3.01
Ag 0.5000 0.5000 0.0000  4 La 2.95, 4 Ti 2.97
Ag 0.2500 0.7500 0.5000  4 La 2.95, 4 Ti 2.97

Properties
ΔE_f (kJ/mol of atoms): 45.43
Symmetry: I-42d

***

13.
The following is a GGA-PBE calculation of LaTiAg after structural relaxation, from the Alexandria database.

Lattice parameters (Å, degrees): 5.3152 7.2519 5.1234 69.29 118.77 76.91
Last column: nearest neighbours and their distance in Å.
Fractional positions:
La 0.7072 0.9005 0.7660  6 Ag 3.06-3.40, 2 Ti 3.08-3.21
La 0.5812 0.5506 0.3781  6 Ti 2.97-3.21, 2 Ag 3.11-3.30
Ti 0.2903 0.5121 0.7521  2 Ag 2.87-3.01, 3 La 2.97-3.19, 2 Ti 3.07-3.08
Ti 0.0557 0.3823 0.1993  3 Ag 2.73-3.04
Ag 0.9515 0.0189 0.3287  2 Ti 2.73-3.01, 1 Ag 3.05
Ag 0.2445 0.1053 0.9323  3 Ti 2.87-3.04, 3 Ag 3.05-3.09, 3 La 3.11-3.20

Properties
ΔE_f (kJ/mol of atoms): 11.95
Symmetry: Cm

***

14.
The following is a GGA-PBE calculation of LaTi3Ag after structural relaxation, from the Alexandria database.

Lattice parameters (Å, degrees): 4.7808 4.7808 4.7808 90.00 90.00 90.00
Last column: nearest neighbours and their distance in Å.
Fractional positions:
Ti 0.5000 0.0000 0.0000  2 La 2.39
Ti 0.0000 0.0000 0.5000  2 La 2.39
Ti 0.0000 0.5000 0.0000  2 La 2.39
La 0.0000 0.0000 0.0000  6 Ti 2.39
Ag 0.5000 0.5000 0.5000  12 Ti 3.38

Properties
ΔE_f (kJ/mol of atoms): 121.24
Symmetry: Pm-3m

***

15.
The following is a GGA-PBE calculation of LaTiAg after structural relaxation, from the Alexandria database.

Lattice parameters (Å, degrees): 4.9566 4.9566 4.9566 60.00 60.00 60.00
Last column: nearest neighbours and their distance in Å.
Fractional positions:
La 0.0000 0.0000 0.0000  4 Ti 3.04, 4 Ag 3.04
Ag 0.7500 0.7500 0.7500  4 La 3.04
Ti 0.2500 0.2500 0.2500  4 La 3.04

Properties
ΔE_f (kJ/mol of atoms): 89.52
Symmetry: F-43m

***

16.
The following is a GGA-PBE calculation of La3TiAg after structural relaxation, from the Alexandria database.

Lattice parameters (Å, degrees): 5.5257 5.5257 5.5257 90.00 90.00 90.00
Last column: nearest neighbours and their distance in Å.
Fractional positions:
La 0.0000 0.5000 0.0000  2 Ti 2.76
La 0.0000 0.0000 0.5000  2 Ti 2.76
La 0.5000 0.0000 0.0000  2 Ti 2.76
Ti 0.0000 0.0000 0.0000  6 La 2.76
Ag 0.5000 0.5000 0.5000  12 La 3.91

Properties
ΔE_f (kJ/mol of atoms): 39.89
Symmetry: Pm-3m

***

17.
The following is a GGA-PBE calculation of LaTiAg3 after structural relaxation, from the Alexandria database.

Lattice parameters (Å, degrees): 5.0500 5.0500 5.0500 90.00 90.00 90.00
Last column: nearest neighbours and their distance in Å.
Fractional positions:
Ti 0.0000 0.0000 0.0000  6 Ag 2.53
Ag 0.0000 0.5000 0.0000  2 Ti 2.53
Ag 0.5000 0.0000 0.0000  2 Ti 2.53
Ag 0.0000 0.0000 0.5000  2 Ti 2.53
La 0.5000 0.5000 0.5000  12 Ag 3.57

Properties
ΔE_f (kJ/mol of atoms): 38.35
Symmetry: Pm-3m

***

18.
The following is a GGA-PBE calculation of LaTiAg after structural relaxation, from the Alexandria database.

Lattice parameters (Å, degrees): 4.8798 6.0020 6.0023 92.93 65.95 114.06
Last column: nearest neighbours and their distance in Å.
Fractional positions:
La 0.3760 0.5465 0.7272  6 Ti 3.12-3.44, 5 Ag 3.28-3.42
La 0.8760 0.9388 0.1194  6 Ti 3.12-3.44, 5 Ag 3.28-3.42
Ti 0.5702 0.3648 0.1562  2 Ti 2.72, 2 Ag 2.76-2.88
Ti 0.0702 0.5099 0.3011  2 Ti 2.72, 2 Ag 2.76-2.88
Ag 0.6887 0.1501 0.7062  2 Ti 2.76-2.88, 2 Ag 2.90
Ag 0.1887 0.9597 0.5159  2 Ti 2.76-2.88, 2 Ag 2.90

Properties
ΔE_f (kJ/mol of atoms): 5.39
Symmetry: Cc

***

19.
The following is a GGA-PBE calculation of LaTiAg after structural relaxation, from the Alexandria database.

Lattice parameters (Å, degrees): 5.5932 6.3573 5.5939 108.04 119.53 108.02
Last column: nearest neighbours and their distance in Å.
Fractional positions:
La 0.1511 0.9075 0.0747  5 Ag 3.13-3.24, 4 Ti 3.20-3.36, 3 La 3.22-3.25
La 0.8180 0.9072 0.4075  2 Ti 2.89-2.90, 3 Ag 3.18-3.22, 1 La 3.22
Ti 0.1116 0.4072 0.1126  3 Ag 2.80-2.93
Ti 0.4382 0.4075 0.7873  2 La 2.89-2.90, 4 Ag 3.03-3.21, 1 Ti 3.15
Ag 0.4844 0.9071 0.7409  4 Ti 2.92-3.21, 2 Ag 3.08, 6 La 3.22-3.24
Ag 0.8227 0.4073 0.4030  3 Ti 2.80-3.03, 2 Ag 3.08, 2 La 3.13

Properties
ΔE_f (kJ/mol of atoms): 20.06
Symmetry: C2

***

20.
The following is a GGA-PBE calculation of LaTiAg after structural relaxation, from the Alexandria database.

Lattice parameters (Å, degrees): 3.2951 5.1845 8.8109 109.77 83.89 85.97
Last column: nearest neighbours and their distance in Å.
Fractional positions:
Ti 0.7746 0.2226 0.0935  1 Ti 2.59, 1 La 2.76, 1 Ag 2.77
Ti 0.2841 0.3139 0.3605  1 Ti 2.59, 2 Ag 2.80-2.88
Ag 0.4477 0.7228 0.9986  1 Ti 2.77, 1 Ag 2.99
Ag 0.6582 0.5570 0.6378  2 Ti 2.80-2.88, 1 Ag 2.99
La 0.8854 0.8147 0.3387  4 Ti 2.90-3.17, 1 Ag 3.22
La 0.1088 0.1442 0.7779  1 Ti 2.76

Properties
ΔE_f (kJ/mol of atoms): 14.65
Symmetry: P1